[1]
## Nb2CrPC (PBE)

Data for crystalline Nb2CrPC at its relaxed geometry.

a = 4.355 Å, b = 3.694 Å, c = 4.355 Å
α = 90.00°, β = 90.00°, γ = 90.00°
Each line ends with the local moment (μB).
Sites, in units of the cell vectors:
1 Cr 0.000 0.500 0.000  1.03
2 Nb 0.000 0.000 0.500  -0.12
3 Nb 0.500 0.000 0.000  -0.05
4 C 0.000 0.000 0.000  -0.03
5 P 0.500 0.500 0.500  0.02

Properties
**N(E_F)**: 4.865 states/eV per cell
**Formation energy from the elements**: -65 meV/atom
**SG**: P4/mmm (123)


[2]
## Ho2Ga5Rh4 (PBE)

Data for crystalline Ho2Ga5Rh4 at its relaxed geometry.

a = 5.314 Å, b = 5.445 Å, c = 8.320 Å
α = 81.03°, β = 71.37°, γ = 60.79°
Sites, in units of the cell vectors:
1 Ho 0.848 0.000 0.305
2 Ho 0.152 0.000 0.695
3 Ga 0.500 0.000 0.000
4 Ga 0.000 0.500 0.000
5 Ga 0.500 0.500 0.000
6 Ga 0.250 0.500 0.500
7 Ga 0.750 0.500 0.500
8 Rh 0.470 0.314 0.746
9 Rh 0.530 0.686 0.254
10 Rh 0.216 0.314 0.254
11 Rh 0.784 0.686 0.746

Properties
**N(E_F)**: 6.588 states/eV per cell
**Formation energy from the elements**: -706 meV/atom
**SG**: Fmmm (69)


[3]
## SrAgB7O12 (PBE)

Data for crystalline SrAgB7O12 at its relaxed geometry.

a = 6.719 Å, b = 6.750 Å, c = 22.381 Å
α = 88.86°, β = 87.71°, γ = 60.15°
Sites, in units of the cell vectors:
1 Sr 0.831 0.331 0.058
2 Sr 0.169 0.669 0.942
3 Sr 0.838 0.331 0.442
4 Sr 0.162 0.669 0.558
5 Ag 0.262 0.196 0.800
6 Ag 0.738 0.804 0.200
7 Ag 0.458 0.804 0.300
8 Ag 0.542 0.196 0.700
9 B 0.706 0.457 0.808
10 B 0.344 0.238 0.436
11 B 0.582 0.762 0.936
12 B 0.418 0.238 0.064
13 B 0.656 0.762 0.564
14 B 0.769 0.094 0.308
15 B 0.334 0.929 0.093
16 B 0.161 0.665 0.084
17 B 0.276 0.687 0.789
18 B 0.425 0.843 0.436
19 B 0.738 0.929 0.407
20 B 0.231 0.906 0.692
21 B 0.137 0.094 0.192
22 B 0.262 0.071 0.593
23 B 0.732 0.843 0.064
24 B 0.837 0.457 0.692
25 B 0.826 0.335 0.584
26 B 0.863 0.906 0.808
27 B 0.839 0.335 0.916
28 B 0.038 0.687 0.711
29 B 0.174 0.665 0.416
30 B 0.294 0.543 0.192
31 B 0.163 0.543 0.308
32 B 0.724 0.313 0.211
33 B 0.575 0.157 0.564
34 B 0.962 0.313 0.289
35 B 0.666 0.071 0.907
36 B 0.268 0.157 0.936
37 O 0.572 0.165 0.431
38 O 0.288 0.870 0.752
39 O 0.823 0.133 0.930
40 O 0.346 0.232 0.574
41 O 0.957 0.867 0.430
42 O 0.924 0.201 0.167
43 O 0.639 0.318 0.553
44 O 0.211 0.578 0.250
45 O 0.522 0.433 0.176
46 O 0.043 0.133 0.570
47 O 0.361 0.682 0.447
48 O 0.720 0.947 0.340
49 O 0.578 0.768 0.074
50 O 0.957 0.682 0.053
51 O 0.268 0.077 0.436
52 O 0.263 0.165 0.069
53 O 0.732 0.923 0.564
54 O 0.633 0.540 0.944
55 O 0.842 0.870 0.748
56 O 0.875 0.201 0.333
57 O 0.478 0.567 0.824
58 O 0.871 0.369 0.852
59 O 0.173 0.460 0.444
60 O 0.367 0.460 0.056
61 O 0.043 0.318 0.947
62 O 0.655 0.077 0.064
63 O 0.827 0.540 0.556
64 O 0.789 0.422 0.750
65 O 0.955 0.567 0.676
66 O 0.345 0.923 0.936
67 O 0.332 0.947 0.160
68 O 0.712 0.130 0.248
69 O 0.231 0.538 0.750
70 O 0.076 0.799 0.833
71 O 0.280 0.053 0.660
72 O 0.422 0.232 0.926
73 O 0.177 0.867 0.070
74 O 0.428 0.835 0.569
75 O 0.125 0.799 0.667
76 O 0.239 0.631 0.352
77 O 0.158 0.130 0.252
78 O 0.668 0.053 0.840
79 O 0.129 0.631 0.148
80 O 0.654 0.768 0.426
81 O 0.045 0.433 0.324
82 O 0.737 0.835 0.931
83 O 0.761 0.369 0.648
84 O 0.769 0.462 0.250

Properties
**N(E_F)**: 0.000 states/eV per cell
**Calculated total energy**: -642.7 eV per cell
**SG**: C2/c (15)


[4]
## BaGaPtO6 (PBE)

Data for crystalline BaGaPtO6 at its relaxed geometry.

a = 5.279 Å, b = 5.279 Å, c = 5.816 Å
α = 90.00°, β = 90.00°, γ = 60.00°
Each line ends with the local moment (μB).
Sites, in units of the cell vectors:
1 Ba 0.000 0.000 0.000  0.02
2 Ga 0.333 0.333 0.500  0.00
3 Pt 0.667 0.667 0.500  0.70
4 O 0.993 0.386 0.310  0.22
5 O 0.386 0.993 0.690  0.22
6 O 0.621 0.386 0.690  0.22
7 O 0.993 0.621 0.690  0.22
8 O 0.386 0.621 0.310  0.22
9 O 0.621 0.993 0.310  0.22

Properties
**N(E_F)**: 6.681 states/eV per cell
**Calculated total energy**: -51.6 eV per cell
**SG**: P312 (149)


[5]
## MnZn (PBE)

Data for crystalline MnZn at its relaxed geometry.

a = 2.691 Å, b = 2.691 Å, c = 7.787 Å
α = 99.95°, β = 99.95°, γ = 90.00°
Sites, in units of the cell vectors:
1 Mn 0.792 0.792 0.583
2 Mn 0.208 0.208 0.417
3 Zn 0.588 0.588 0.175
4 Zn 0.412 0.412 0.825

Properties
**N(E_F)**: 3.076 states/eV per cell
**Formation energy from the elements**: 137 meV/atom
**SG**: I4/mmm (139)


[6]
## Li2MgAl2 (PBE)

Data for crystalline Li2MgAl2 at its relaxed geometry.

a = 4.586 Å, b = 4.510 Å, c = 11.907 Å
α = 54.71°, β = 78.90°, γ = 59.45°
Sites, in units of the cell vectors:
1 Li 0.453 0.735 0.858
2 Li 0.954 0.235 0.358
3 Li 0.547 0.265 0.142
4 Li 0.046 0.765 0.642
5 Mg 0.250 0.750 0.250
6 Mg 0.750 0.250 0.750
7 Al 0.351 0.244 0.554
8 Al 0.149 0.256 0.946
9 Al 0.649 0.756 0.446
10 Al 0.851 0.744 0.054

Properties
**N(E_F)**: 2.516 states/eV per cell
**Formation energy from the elements**: -93 meV/atom
**SG**: C2/m (12)


[7]
## ZrSb2Pt (PBE)

Data for crystalline ZrSb2Pt at its relaxed geometry.

a = 6.216 Å, b = 6.216 Å, c = 6.216 Å
α = 144.28°, β = 141.30°, γ = 53.68°
Sites, in units of the cell vectors:
1 Pt 0.229 0.729 0.500
2 Sb 0.038 0.038 0.000
3 Sb 0.771 0.271 0.500
4 Zr 0.461 0.461 0.000

Properties
**N(E_F)**: 2.388 states/eV per cell
**Calculated total energy**: -24.6 eV per cell
**SG**: Imm2 (44)


[8]
## TlNiRh2 (PBE)

Data for crystalline TlNiRh2 at its relaxed geometry.

a = 4.314 Å, b = 2.880 Å, c = 5.240 Å
α = 74.76°, β = 90.00°, γ = 90.00°
Each line ends with the local moment (μB).
Sites, in units of the cell vectors:
1 Ni 0.500 0.750 0.750  0.34
2 Rh 0.000 0.894 0.975  0.08
3 Rh 0.000 0.606 0.525  0.08
4 Tl 0.500 0.250 0.250  0.00

Properties
**N(E_F)**: 5.239 states/eV per cell
**Formation energy from the elements**: 266 meV/atom
**SG**: P2/m (10)


Which of these has the highest N(E_F)? BaGaPtO6


N(E_F) of number 6 (Li2MgAl2)? 2.516 states/eV per cell